Record 1
TbNpRh2 | the Alexandria database | PBE | optimized geometry; polymorph energy (0 for the lowest one) = 0.0 kJ per mole of atoms; formation energy = -498 meV per atom; SG = P4/mmm (123); raw total energy = -34.26 eV per cell; M_tot = 3.41 Bohr magnetons per cell
1.0
4.866 0.000 0.000
0.000 4.866 0.000
0.000 0.000 3.396
Tb Np Rh
1 1 2
direct
0.000 0.000 0.000
0.500 0.500 0.000
0.000 0.500 0.500
0.500 0.000 0.500

***

Record 2
Pr2CuP | the Alexandria database | PBE | optimized geometry; formation energy = -708 meV per atom; SG = R3m (160); raw total energy = -21.90 eV per cell; M_tot = 0.00 Bohr magnetons per cell
1.0
2.053 1.186 7.269
-2.053 1.186 7.269
0.000 -2.371 7.269
Pr Cu P
2 1 1
direct
0.000 0.000 0.000
0.180 0.180 0.180
0.757 0.757 0.757
0.591 0.591 0.591

***

Record 3
BiBH2 | the Alexandria database | PBE | optimized geometry; polymorph energy (0 for the lowest one) = 55.3 kJ per mole of atoms; SG = Fm-3m (225); raw total energy = -11.90 eV per cell; M_tot = 0.00 Bohr magnetons per cell
1.0
0.000 2.789 2.789
2.789 0.000 2.789
2.789 2.789 0.000
Bi B H
1 1 2
direct
0.000 0.000 0.000
0.500 0.500 0.500
0.250 0.250 0.250
0.750 0.750 0.750

***

Among the records above, which one has the lowest raw total energy?
TbNpRh2